# LuMgCdHg

An optimized crystal structure of LuMgCdHg (PBE, OQMD via LeMat-Bulk).

Results
**ΔE to the lowest computed polymorph**: 0.156 eV/atom

Geometry as CIF:
```
data_LuMgCdHg
_symmetry_space_group_name_H-M 'F -4 3 m'
_symmetry_Int_Tables_number 216
_symmetry_space_group_name_Hall 'F -4 2 3'
_cell_length_a 7.1034
_cell_length_b 7.1034
_cell_length_c 7.1034
_cell_angle_alpha 90.00
_cell_angle_beta 90.00
_cell_angle_gamma 90.00
loop_
_atom_site_label
_atom_site_fract_x
_atom_site_fract_y
_atom_site_fract_z
Lu1 0.0000 0.0000 0.0000
Mg1 0.2500 0.2500 0.2500
Cd1 0.0000 0.0000 0.5000
Hg1 0.2500 0.2500 0.7500
```


# Mg2CdHg

An optimized crystal structure of Mg2CdHg (PBE, OQMD via LeMat-Bulk).

Results
**ΔE to the lowest computed polymorph**: 0.000 eV/atom

Geometry as CIF:
```
data_Mg2CdHg
_symmetry_space_group_name_H-M 'P m m 2'
_symmetry_Int_Tables_number 25
_symmetry_space_group_name_Hall 'P 2 -2'
_cell_length_a 3.4405
_cell_length_b 4.9612
_cell_length_c 4.9618
_cell_angle_alpha 90.00
_cell_angle_beta 90.00
_cell_angle_gamma 90.00
loop_
_atom_site_label
_atom_site_fract_x
_atom_site_fract_y
_atom_site_fract_z
Mg1 0.0000 0.0000 0.0000
Mg2 0.0000 0.5000 0.4946
Cd1 0.5000 0.0000 0.5001
Hg1 0.5000 0.5000 0.9945
```


# MgCd2Hg

An optimized crystal structure of MgCd2Hg (PBE, OQMD via LeMat-Bulk).

Results
**Total energy**: -15.37 eV/cell

Geometry as CIF:
```
data_MgCd2Hg
_symmetry_space_group_name_H-M 'F -4 3 m'
_symmetry_Int_Tables_number 216
_symmetry_space_group_name_Hall 'F -4 2 3'
_cell_length_a 7.0465
_cell_length_b 7.0465
_cell_length_c 7.0465
_cell_angle_alpha 90.00
_cell_angle_beta 90.00
_cell_angle_gamma 90.00
loop_
_atom_site_label
_atom_site_fract_x
_atom_site_fract_y
_atom_site_fract_z
Mg1 0.0000 0.0000 0.0000
Cd1 0.0000 0.0000 0.5000
Cd2 0.2500 0.2500 0.2500
Hg1 0.2500 0.2500 0.7500
```


# Nd3Mg3TlCdHg

An optimized crystal structure of Nd3Mg3TlCdHg (PBE, OQMD via LeMat-Bulk).

Results
**Total energy**: -25.67 eV/cell

Geometry as CIF:
```
data_Nd3Mg3TlCdHg
_symmetry_space_group_name_H-M 'P -6'
_symmetry_Int_Tables_number 174
_symmetry_space_group_name_Hall 'P -6'
_cell_length_a 7.6580
_cell_length_b 7.6580
_cell_length_c 4.7523
_cell_angle_alpha 90.00
_cell_angle_beta 90.00
_cell_angle_gamma 120.00
loop_
_atom_site_label
_atom_site_fract_x
_atom_site_fract_y
_atom_site_fract_z
Nd1 0.0897 0.3361 0.0000
Mg1 0.4296 0.3382 0.5000
Tl1 0.0000 0.0000 0.5000
Cd1 0.6667 0.3333 0.0000
Hg1 0.3333 0.6667 0.5000
```


# Pr3Mg3CdHg2

An optimized crystal structure of Pr3Mg3CdHg2 (PBE, OQMD via LeMat-Bulk).

Results
**Total energy**: -23.73 eV/cell

Geometry as CIF:
```
data_Pr3Mg3CdHg2
_symmetry_space_group_name_H-M 'P -6 2 m'
_symmetry_Int_Tables_number 189
_symmetry_space_group_name_Hall 'P -6 -2'
_cell_length_a 7.6462
_cell_length_b 7.6462
_cell_length_c 4.7451
_cell_angle_alpha 90.00
_cell_angle_beta 90.00
_cell_angle_gamma 120.00
loop_
_atom_site_label
_atom_site_fract_x
_atom_site_fract_y
_atom_site_fract_z
Pr1 0.0000 0.4236 0.0000
Mg1 0.0000 0.7609 0.5000
Cd1 0.0000 0.0000 0.0000
Hg1 0.3333 0.6667 0.5000
```


# MgCdHgS3

An optimized crystal structure of MgCdHgS3 (PBE, OQMD via LeMat-Bulk).

Results
**Total energy**: -70.42 eV/cell

Geometry as CIF:
```
data_MgCdHgS3
_symmetry_space_group_name_H-M 'C m c m'
_symmetry_Int_Tables_number 63
_symmetry_space_group_name_Hall '-C 2c 2'
_cell_length_a 3.6742
_cell_length_b 13.0147
_cell_length_c 11.5816
_cell_angle_alpha 90.00
_cell_angle_beta 90.00
_cell_angle_gamma 90.00
loop_
_atom_site_label
_atom_site_fract_x
_atom_site_fract_y
_atom_site_fract_z
Mg1 0.0000 0.2136 0.2500
Cd1 0.0000 0.0000 0.0000
Hg1 0.0000 0.4901 0.2500
S1 0.0000 0.1493 0.7500
S2 0.0000 0.3743 0.5886
```


# MgCdHgS3

An optimized crystal structure of MgCdHgS3 (PBE, OQMD via LeMat-Bulk).

Results
**Total energy**: -70.44 eV/cell

Geometry as CIF:
```
data_MgCdHgS3
_symmetry_space_group_name_H-M 'C m c m'
_symmetry_Int_Tables_number 63
_symmetry_space_group_name_Hall '-C 2c 2'
_cell_length_a 3.6885
_cell_length_b 12.9702
_cell_length_c 11.8102
_cell_angle_alpha 90.00
_cell_angle_beta 90.00
_cell_angle_gamma 90.00
loop_
_atom_site_label
_atom_site_fract_x
_atom_site_fract_y
_atom_site_fract_z
Mg1 0.0000 0.2156 0.2500
Cd1 0.0000 0.4857 0.2500
Hg1 0.0000 0.0000 0.0000
S1 0.0000 0.1495 0.7500
S2 0.0000 0.3775 0.5948
```


# MgCdHgSe3

An optimized crystal structure of MgCdHgSe3 (PBE, OQMD via LeMat-Bulk).

Results
**ΔE to the lowest computed polymorph**: 0.000 eV/atom

Geometry as CIF:
```
data_MgCdHgSe3
_symmetry_space_group_name_H-M 'C m c m'
_symmetry_Int_Tables_number 63
_symmetry_space_group_name_Hall '-C 2c 2'
_cell_length_a 3.8384
_cell_length_b 13.3994
_cell_length_c 11.8680
_cell_angle_alpha 90.00
_cell_angle_beta 90.00
_cell_angle_gamma 90.00
loop_
_atom_site_label
_atom_site_fract_x
_atom_site_fract_y
_atom_site_fract_z
Mg1 0.0000 0.2228 0.2500
Cd1 0.0000 0.4970 0.7500
Hg1 0.0000 0.0000 0.0000
Se1 0.0000 0.1351 0.7500
Se2 0.0000 0.3631 0.5847
```


What did the third record say?
# MgCd2Hg

An optimized crystal structure of MgCd2Hg (PBE, OQMD via LeMat-Bulk).

Results
**Total energy**: -15.37 eV/cell

Geometry as CIF:
```
data_MgCd2Hg
_symmetry_space_group_name_H-M 'F -4 3 m'
_symmetry_Int_Tables_number 216
_symmetry_space_group_name_Hall 'F -4 2 3'
_cell_length_a 7.0465
_cell_length_b 7.0465
_cell_length_c 7.0465
_cell_angle_alpha 90.00
_cell_angle_beta 90.00
_cell_angle_gamma 90.00
loop_
_atom_site_label
_atom_site_fract_x
_atom_site_fract_y
_atom_site_fract_z
Mg1 0.0000 0.0000 0.0000
Cd1 0.0000 0.0000 0.5000
Cd2 0.2500 0.2500 0.2500
Hg1 0.2500 0.2500 0.7500
```